Compound: TiCrIn2F8
Source: Alexandria via LeMat-Bulk
Functional: PBE with a Hubbard U
Structure: optimized geometry

Lattice parameters (Å, degrees): 5.179 6.538 6.591 94.92 98.43 96.93
Fractional positions:
Ti: 0.000 0.000 0.000
Cr: 0.000 0.000 0.500
In: 0.328 0.535 0.731
In: 0.672 0.465 0.269
F: 0.073 0.709 0.490
F: 0.099 0.732 0.983
F: 0.215 0.073 0.793
F: 0.275 0.090 0.221
F: 0.725 0.910 0.779
F: 0.785 0.927 0.207
F: 0.901 0.268 0.017
F: 0.927 0.291 0.510

Computed properties:
Space group: P-1
ρ in g/cm³: 3.669
Energy in eV per atom: -5.607